# 1
DFT (GGA-PBE) results for crystalline Ba2SnAuSe5 at its relaxed geometry.

The raw formation energy is -1.00 eV/atom.

The structure belongs to space group Cmc2_1 (No. 36); the cell edges are 4.1990, 20.5833 and 12.4773 Å and the angles 90.00°, 90.00° and 90.00°. The asymmetric unit holds Ba at (0.0000, 0.1175, 0.0000), Ba at (0.0000, 0.1219, 0.4041), Sn at (0.0000, 0.2246, 0.6996), Au at (0.0000, 0.4485, 0.1203), Se at (0.0000, 0.0896, 0.7177), Se at (0.0000, 0.2783, 0.0470), Se at (0.0000, 0.2836, 0.3507), Se at (0.0000, 0.3543, 0.7019) and Se at (0.0000, 0.4998, 0.4401).


# 2
DFT (GGA-PBE) results for crystalline BaSn2AuSe4 at its relaxed geometry.

The raw formation energy is -0.68 eV/atom.

The structure belongs to space group Cmcm (No. 63); the cell edges are 4.4295, 13.6663 and 15.0391 Å and the angles 90.00°, 90.00° and 90.00°. The asymmetric unit holds Ba at (0.0000, 0.1233, 0.2500), Sn at (0.0000, 0.3713, 0.0560), Au at (0.0000, 0.1478, 0.7500), Se at (0.0000, 0.0000, 0.0000), Se at (0.0000, 0.2719, 0.6094) and Se at (0.0000, 0.4439, 0.2500).


# 3
DFT (GGA-PBE) results for crystalline BaTbAuSe3 at its relaxed geometry.

The raw formation energy is -1.50 eV/atom.

The structure belongs to space group P2_1/m (No. 11); the cell edges are 8.6977, 4.2505 and 9.6077 Å and the angles 90.00°, 105.85° and 90.00°. The asymmetric unit holds Ba at (0.2043, 0.2500, 0.2493), Tb at (0.3207, 0.7500, 0.8371), Au at (0.1010, 0.2500, 0.5910), Se at (0.1011, 0.2500, 0.8681), Se at (0.2602, 0.7500, 0.5276) and Se at (0.4460, 0.7500, 0.1512).


The lowest raw formation energy belongs to which entry? BaTbAuSe3


Among the records above, which one has the highest raw formation energy? BaSn2AuSe4


Look up the raw formation energy of the third one. -1.50 eV/atom


Which of these has the highest raw formation energy? BaSn2AuSe4